[1]
Compound: Ir2Pt6Rh
Source: Alexandria
Functional: PBE-GGA
Structure: relaxed

Cell and atoms, written as POSCAR:
```
Ir2Pt6Rh
1.0
0.423 0.515 3.890
1.851 -5.367 2.512
5.855 1.817 1.126
Ir Pt Rh
2 6 1
Direct
0.332 0.500 0.836
0.668 0.500 0.164
0.997 0.173 0.833
0.330 0.173 0.167
0.670 0.827 0.833
0.337 0.825 0.500
0.663 0.175 0.500
0.003 0.827 0.167
0.000 0.500 0.500
```

Summary:
Calculated total energy ... -60.99 eV for the cell shown
Formation energy from the elements ... 0.036 eV per atom


[2]
Compound: IrPtRh2
Source: Alexandria
Functional: PBE-GGA
Structure: relaxed

Cell and atoms, written as POSCAR:
```
IrPtRh2
1.0
-4.153 -1.819 -1.433
-2.421 -3.931 -1.139
-1.925 -0.991 4.227
Ir Rh Pt
1 2 1
Direct
0.498 0.498 0.505
0.001 0.001 0.998
0.752 0.752 0.746
0.248 0.248 0.251
```

Summary:
Excess energy over the best structure of this formula in the dataset ... 48 meV per atom
Calculated total energy ... -29.58 eV for the cell shown
Formation energy from the elements ... 0.006 eV per atom


[3]
Compound: Ir3PtRh4
Source: Alexandria
Functional: PBE-GGA
Structure: relaxed

Cell and atoms, written as POSCAR:
```
Ir3PtRh4
1.0
5.502 0.000 0.000
0.000 4.738 0.000
0.000 0.000 8.926
Ir Rh Pt
6 8 2
Direct
0.878 0.395 0.000
0.122 0.226 0.752
0.878 0.726 0.748
0.122 0.895 0.500
0.878 0.726 0.252
0.122 0.226 0.248
0.123 0.896 0.000
0.373 0.391 0.000
0.372 0.730 0.748
0.628 0.230 0.752
0.627 0.891 0.500
0.877 0.396 0.500
0.628 0.230 0.248
0.372 0.730 0.252
0.627 0.890 0.000
0.373 0.390 0.500
```

Summary:
Calculated total energy ... -123.19 eV for the cell shown
Formation energy from the elements ... 0.054 eV per atom


[4]
Compound: Ir2PtRh
Source: Alexandria
Functional: PBE-GGA
Structure: relaxed

Cell and atoms, written as POSCAR:
```
Ir2PtRh
1.0
-3.435 -0.677 1.693
0.495 -3.821 -0.524
1.754 -0.247 3.462
Ir Rh Pt
2 1 1
Direct
0.000 0.000 0.000
0.000 0.500 0.500
0.500 0.000 0.500
0.500 0.500 0.000
```

Summary:
Excess energy over the best structure of this formula in the dataset ... 49 meV per atom
Calculated total energy ... -30.95 eV for the cell shown
Formation energy from the elements ... 0.040 eV per atom


[5]
Compound: IrPt4Rh3
Source: Alexandria
Functional: PBE-GGA
Structure: relaxed

Cell and atoms, written as POSCAR:
```
IrPt4Rh3
1.0
-3.101 -0.364 2.366
-2.387 0.190 -3.100
3.085 -7.665 -0.377
Ir Rh Pt
1 3 4
Direct
0.500 0.000 0.000
0.000 0.500 0.000
0.750 0.250 0.499
0.250 0.750 0.501
0.375 0.375 0.751
0.625 0.625 0.249
0.125 0.125 0.249
0.875 0.875 0.751
```

Summary:
Excess energy over the best structure of this formula in the dataset ... 0 meV per atom
Calculated total energy ... -55.06 eV for the cell shown
Formation energy from the elements ... 0.003 eV per atom


[6]
Compound: Ir2PtRh
Source: Alexandria
Functional: PBE-GGA
Structure: relaxed

Cell and atoms, written as POSCAR:
```
Ir2PtRh
1.0
-1.347 2.353 4.782
1.347 -2.353 4.782
1.347 2.353 -4.782
Ir Pt Rh
2 1 1
Direct
0.995 0.995 0.000
0.761 0.261 0.500
0.505 0.505 0.000
0.239 0.739 0.500
```

Summary:
Excess energy over the best structure of this formula in the dataset ... 209 meV per atom
Calculated total energy ... -30.32 eV for the cell shown
Formation energy from the elements ... 0.200 eV per atom